This record from Alexandria describes a relaxed Ba2PtBr crystal. The functional is GGA-PBE.

Unit cell a=4.5767 b=4.5767 c=24.8945 alpha=90.00 beta=90.00 gamma=120.00
With the nearest neighbours (Å) after each atom.
Space group R-3m (No. 166, hexagonal axes)
Unique sites:
Ba 0.0000 0.0000 0.2375 [6 per cell]  3 Pt 3.18
Pt 0.0000 0.0000 0.5000 [3 per cell]  6 Ba 3.18
Br 0.0000 0.0000 0.0000 [3 per cell]  6 Ba 3.56

## Properties
DOS(E_F) (states/eV/f.u.): 3.15
Energy (eV for the cell shown): -50.0
Formation energy from raw total energies (kJ/mol of formula units): -493
Energy above the most stable polymorph in this dataset (eV/atom): 0.000

This record from Alexandria describes a relaxed PmBrF crystal. The functional is GGA-PBE.

Unit cell a=3.6703 b=4.1471 c=10.2933 alpha=90.00 beta=100.13 gamma=90.00
With the nearest neighbours (Å) after each atom.
Space group P2_1/m (No. 11)
Unique sites:
Pm 0.0841 0.2500 0.1709 [2 per cell]  3 F 2.33-2.40
Br 0.3365 0.2500 0.6681 [2 per cell]  4 Pm 3.21, 2 F 3.26
F 0.0325 0.7500 0.0663 [2 per cell]  3 Pm 2.33-2.40, 2 F 2.47

## Properties
DOS(E_F) (states/eV/f.u.): 0.69
Energy (eV for the cell shown): -31.6
Formation energy from raw total energies (kJ/mol of formula units): -724
Energy above the most stable polymorph in this dataset (eV/atom): 0.006

This record from Alexandria describes a relaxed SbP3 crystal. The functional is GGA-PBE.

Unit cell a=3.3353 b=5.0488 c=8.6823 alpha=90.00 beta=90.00 gamma=90.00
With the nearest neighbours (Å) after each atom.
Space group Immm (No. 71)
Unique sites:
Sb 0.0000 0.0000 0.0000 [2 per cell]  12 P 3.03-3.14, 2 Sb 3.34
P 0.0000 0.0000 0.5000 [2 per cell]  4 P 2.37
P 0.0000 0.5000 0.1937 [4 per cell]  2 P 2.37

## Properties
DOS(E_F) (states/eV/f.u.): 2.04
Energy (eV for the cell shown): -36.6
Formation energy from raw total energies (kJ/mol of formula units): 200
Energy above the most stable polymorph in this dataset (eV/atom): 0.321

This record from Alexandria describes a relaxed NpCuBi2 crystal. The functional is GGA-PBE.

Unit cell a=4.8644 b=4.8644 c=15.2291 alpha=90.00 beta=90.00 gamma=120.00
With the nearest neighbours (Å) after each atom.
Space group R-3m (No. 166, hexagonal axes)
Unique sites:
Np 0.0000 0.0000 0.0000 [3 per cell]  8 Bi 3.21-3.52
Cu 0.0000 0.0000 0.5000 [3 per cell]  6 Bi 2.98
Bi 0.0000 0.0000 0.2313 [6 per cell]  3 Cu 2.98, 3 Np 3.21

## Properties
DOS(E_F) (states/eV/f.u.): 12.32
Energy (eV for the cell shown): -70.7

This record from Alexandria describes a relaxed NaPa2Bi9 crystal. The functional is GGA-PBE.

Unit cell a=4.8696 b=4.8696 c=15.0302 alpha=90.00 beta=90.00 gamma=90.00
With the nearest neighbours (Å) after each atom.
Space group P4/mmm (No. 123)
Unique sites:
Na 0.0000 0.0000 0.0000 [1 per cell]  12 Bi 3.44-3.54
Pa 0.0000 0.0000 0.3405 [2 per cell]  12 Bi 3.42-3.52
Bi 0.0000 0.5000 0.1712 [4 per cell]  8 Bi 3.44-3.54, 2 Pa 3.52, 2 Na 3.54
Bi 0.0000 0.5000 0.5000 [2 per cell]  4 Pa 3.42, 8 Bi 3.44-3.50
Bi 0.5000 0.5000 0.0000 [1 per cell]  4 Na 3.44, 8 Bi 3.54
Bi 0.5000 0.5000 0.3327 [2 per cell]  8 Bi 3.44-3.50, 4 Pa 3.45

## Properties
DOS(E_F) (states/eV/f.u.): 10.44
Energy (eV for the cell shown): -56.7

This record from Alexandria describes a relaxed Re3BiIr crystal. The functional is GGA-PBE.

Unit cell a=4.8576 b=4.8576 c=4.8576 alpha=90.00 beta=90.00 gamma=90.00
With the nearest neighbours (Å) after each atom.
Space group Pm-3m (No. 221)
Unique sites:
Re 0.0000 0.0000 0.5000 [3 per cell]  2 Bi 2.43
Bi 0.0000 0.0000 0.0000 [1 per cell]  6 Re 2.43
Ir 0.5000 0.5000 0.5000 [1 per cell]  12 Re 3.43

## Properties
DOS(E_F) (states/eV/f.u.): 9.58
Energy (eV for the cell shown): -32.1

This record from Alexandria describes a relaxed BaCa2NdAg4 crystal. The functional is GGA-PBE.

Unit cell a=5.3592 b=5.3592 c=27.2947 alpha=90.00 beta=90.00 gamma=120.00
With the nearest neighbours (Å) after each atom.
Space group R-3m (No. 166, hexagonal axes)
Unique sites:
Ba 0.0000 0.0000 0.0000 [3 per cell]  8 Ag 3.42-3.54
Ca 0.0000 0.0000 0.2458 [6 per cell]  7 Ag 3.17-3.30
Nd 0.0000 0.0000 0.5000 [3 per cell]  8 Ag 3.10-3.25
Ag 0.0000 0.0000 0.1297 [6 per cell]  4 Ca 3.17-3.30, 3 Nd 3.25, 1 Ba 3.54
Ag 0.0000 0.0000 0.3863 [6 per cell]  1 Nd 3.10, 3 Ca 3.23, 3 Ba 3.42

## Properties
DOS(E_F) (states/eV/f.u.): 5.48
Energy (eV for the cell shown): -72.8

This record from Alexandria describes a relaxed LuAl2Ge crystal. The functional is GGA-PBE.

Unit cell a=3.1711 b=3.1711 c=30.4487 alpha=90.00 beta=90.00 gamma=120.00
With the nearest neighbours (Å) after each atom.
Space group R-3m (No. 166, hexagonal axes)
Unique sites:
Lu 0.0000 0.0000 0.0000 [3 per cell]  2 Al 2.98, 6 Lu 3.17
Al 0.0000 0.0000 0.0980 [6 per cell]  3 Ge 2.78, 1 Lu 2.98
Ge 0.0000 0.0000 0.5000 [3 per cell]  6 Al 2.78

## Properties
DOS(E_F) (states/eV/f.u.): 2.86
Energy (eV for the cell shown): -46.1
Energy above the most stable polymorph in this dataset (eV/atom): 0.699

This record from Alexandria describes a relaxed Th2CoAgGe crystal. The functional is GGA-PBE.

Unit cell a=7.1814 b=4.3649 c=7.9899 alpha=90.00 beta=112.86 gamma=90.00
With the nearest neighbours (Å) after each atom.
Space group P2_1/m (No. 11)
Unique sites:
Th 0.1746 0.2500 0.3580 [2 per cell]  3 Co 3.05-3.21, 3 Ge 3.12-3.14, 2 Ag 3.17
Th 0.2706 0.2500 0.9497 [2 per cell]  1 Co 2.55
Co 0.0925 0.7500 0.0711 [2 per cell]  1 Ge 2.39, 1 Th 2.55, 2 Co 2.58
Ag 0.3133 0.7500 0.6712 [2 per cell]  2 Ge 2.74
Ge 0.4394 0.7500 0.2775 [2 per cell]  1 Co 2.39

## Properties
DOS(E_F) (states/eV/f.u.): 4.69
Energy (eV for the cell shown): -62.2

This record from Alexandria describes a relaxed Y2CrRu crystal. The functional is GGA-PBE.

Unit cell a=3.3519 b=3.9930 c=6.8448 alpha=90.00 beta=102.59 gamma=90.00
With the nearest neighbours (Å) after each atom.
Space group Pm (No. 6)
Unique sites:
Y 0.0000 0.0000 0.0000 [1 per cell]  1 Ru 2.88, 4 Cr 2.92-3.14
Y 0.3194 0.5000 0.6101 [1 per cell]  1 Cr 2.86, 4 Ru 2.94-3.12
Cr 0.5453 0.5000 0.2299 [1 per cell]  2 Ru 2.29
Ru 0.7644 0.0000 0.3802 [1 per cell]  2 Cr 2.29

## Properties
DOS(E_F) (states/eV/f.u.): 2.43
Energy (eV for the cell shown): -31.2

This record from Alexandria describes a relaxed Ge3SI crystal. The functional is GGA-PBE.

Unit cell a=5.1107 b=5.1107 c=5.1107 alpha=90.00 beta=90.00 gamma=90.00
With the nearest neighbours (Å) after each atom.
Space group Pm-3m (No. 221)
Unique sites:
Ge 0.0000 0.0000 0.5000 [3 per cell]  2 S 2.56
S 0.0000 0.0000 0.0000 [1 per cell]  6 Ge 2.56
I 0.5000 0.5000 0.5000 [1 per cell]  12 Ge 3.61

## Properties
DOS(E_F) (states/eV/f.u.): 6.28
Energy (eV for the cell shown): -16.8
Formation energy from raw total energies (kJ/mol of formula units): 265
Energy above the most stable polymorph in this dataset (eV/atom): 0.000

This record from Alexandria describes a relaxed CaTiNF2 crystal. The functional is GGA-PBE.

Unit cell a=4.0571 b=4.0571 c=4.0355 alpha=90.00 beta=90.00 gamma=90.00
With the nearest neighbours (Å) after each atom.
Space group P4/mmm (No. 123)
Unique sites:
Ca 0.0000 0.0000 0.0000 [1 per cell]  8 F 2.86, 4 N 2.87
Ti 0.5000 0.5000 0.5000 [1 per cell]  2 N 2.02, 4 F 2.03
N 0.5000 0.5000 0.0000 [1 per cell]  2 Ti 2.02
F 0.0000 0.5000 0.5000 [2 per cell]  2 Ti 2.03

## Properties
DOS(E_F) (states/eV/f.u.): 1.33
Energy (eV for the cell shown): -33.1
Formation energy from raw total energies (kJ/mol of formula units): -1079
Energy above the most stable polymorph in this dataset (eV/atom): 0.000